No. 1
LiCaPrPb after structural relaxation, computed with GGA-PBE.

Calculated values
Formation energy (eV per atom): -0.3448
Theoretical density (g/cm³): 5.646

```
data_LiCaPrPb
_chemical_formula_sum 'Li4 Ca4 Pr4 Pb4'
_cell_length_a 7.747
_cell_length_b 7.747
_cell_length_c 7.747
_cell_angle_alpha 90.00
_cell_angle_beta 90.00
_cell_angle_gamma 90.00
_space_group_name_H-M_alt 'F -4 3 m'
_space_group_IT_number 216
_space_group_name_Hall 'F -4 2 3'
loop_
_atom_site_label
_atom_site_type_symbol
_atom_site_fract_x
_atom_site_fract_y
_atom_site_fract_z
Li1 Li 0.000 0.000 0.000
Ca1 Ca 0.250 0.250 0.250
Pr1 Pr 0.250 0.250 0.750
Pb1 Pb 0.000 0.000 0.500
```

No. 2
Li2Ca2PuPb2 after structural relaxation, computed with GGA-PBE.

Calculated values
Formation energy (eV per atom): -0.2558
Theoretical density (g/cm³): 6.360

```
data_Li2Ca2PuPb2
_chemical_formula_sum 'Li6 Ca6 Pu3 Pb6'
_cell_length_a 4.9890
_cell_length_b 4.9890
_cell_length_c 27.3428
_cell_angle_alpha 90.00
_cell_angle_beta 90.00
_cell_angle_gamma 120.00
_space_group_name_H-M_alt 'R -3 m'
_space_group_IT_number 166
_space_group_name_Hall '-R 3 2"'
loop_
_atom_site_label
_atom_site_type_symbol
_atom_site_fract_x
_atom_site_fract_y
_atom_site_fract_z
Li1 Li 0.0000 0.0000 0.1049
Ca1 Ca 0.0000 0.0000 0.3728
Pu1 Pu 0.0000 0.0000 0.5000
Pb1 Pb 0.0000 0.0000 0.2367
```